[1]
The following is a PBE-GGA calculation of a relaxed structure of Pr3ZnIn, from the Alexandria database.

a b c (Å): 10.4033 10.4033 5.4370
angles (deg): 90.00 90.00 149.69
With the nearest neighbours (Å) after each atom.
Sites, in units of the cell vectors:
Pr: 0.0601 0.9399 0.7500  2 Zn 3.30, 2 In 3.33, 2 Pr 3.64
Pr: 0.2475 0.7525 0.7500  4 In 3.29-3.34, 4 Zn 3.32-3.38
Pr: 0.4331 0.5669 0.7500  2 Zn 3.22, 2 In 3.25
Pr: 0.5669 0.4331 0.2500  2 Zn 3.22, 2 In 3.25
Pr: 0.7525 0.2475 0.2500  4 In 3.29-3.34, 4 Zn 3.32-3.38
Pr: 0.9399 0.0601 0.2500  2 Zn 3.30, 2 In 3.33, 2 Pr 3.64
Zn: 0.3472 0.6528 0.2500  8 Pr 3.22-3.38
Zn: 0.6528 0.3472 0.7500  8 Pr 3.22-3.38
In: 0.1556 0.8444 0.2500  8 Pr 3.25-3.34
In: 0.8444 0.1556 0.7500  8 Pr 3.25-3.34

Crystal system: orthorhombic
Formation energy: -0.28 eV per atom
DFT total energy: -0.1452 hartree per atom
Fermi-level density of states: 12.07 states/eV/cell
Energy above the lowest structure with this stoichiometry: 0.000 eV/atom


[2]
The following is a PBE-GGA calculation of a relaxed structure of NaTcP2Ru, from the Alexandria database.

a b c (Å): 5.5032 5.5032 5.5032
angles (deg): 136.13 136.13 63.78
With the nearest neighbours (Å) after each atom.
Sites, in units of the cell vectors:
Na: 0.0000 0.0000 0.0000  4 Tc 3.11, 4 Ru 3.11, 10 P 3.15-3.47
Tc: 0.2500 0.7500 0.5000  4 P 2.35
P: 0.3709 0.3709 0.0000  2 Tc 2.35, 2 Ru 2.35, 1 P 2.41
P: 0.6291 0.6291 0.0000  2 Tc 2.35, 2 Ru 2.35, 1 P 2.41
Ru: 0.7500 0.2500 0.5000  4 P 2.35

Crystal system: tetragonal
Formation energy: -0.55 eV per atom
DFT total energy: -0.2540 hartree per atom
Fermi-level density of states: 1.73 states/eV/cell


[3]
The following is a PBE-GGA calculation of a relaxed structure of KSrHg17, from the Alexandria database.

a b c (Å): 8.3756 8.3756 8.3756
angles (deg): 75.43 75.43 75.43
With the nearest neighbours (Å) after each atom.
Sites, in units of the cell vectors:
K: 0.0000 0.0000 0.0000  15 Hg 3.61-3.82
Sr: 0.6773 0.6773 0.6773  13 Hg 3.41-3.63
Hg: 0.0537 0.3601 0.6619  6 Hg 3.09-3.28
Hg: 0.0537 0.6619 0.3601  6 Hg 3.09-3.28
Hg: 0.2581 0.7051 0.7051  5 Hg 3.03-3.15
Hg: 0.2966 0.2966 0.9325  7 Hg 3.11-3.45
Hg: 0.2966 0.9325 0.2966  7 Hg 3.11-3.45
Hg: 0.3013 0.3013 0.3013  10 Hg 3.05-3.28
Hg: 0.3601 0.0537 0.6619  6 Hg 3.09-3.28
Hg: 0.3601 0.6619 0.0537  6 Hg 3.09-3.28
Hg: 0.4730 0.4730 0.4730  4 Hg 3.03-3.05
Hg: 0.5818 0.9526 0.9526  6 Hg 3.08-3.25
Hg: 0.6619 0.0537 0.3601  6 Hg 3.09-3.28
Hg: 0.6619 0.3601 0.0537  6 Hg 3.09-3.28
Hg: 0.7051 0.2581 0.7051  5 Hg 3.03-3.15
Hg: 0.7051 0.7051 0.2581  5 Hg 3.03-3.15
Hg: 0.9325 0.2966 0.2966  7 Hg 3.11-3.45
Hg: 0.9526 0.5818 0.9526  6 Hg 3.08-3.25
Hg: 0.9526 0.9526 0.5818  6 Hg 3.08-3.25

Crystal system: trigonal
Formation energy: -0.14 eV per atom
DFT total energy: -0.0205 hartree per atom
Fermi-level density of states: 6.55 states/eV/cell


[4]
The following is a PBE-GGA calculation of a relaxed structure of CaPrNd, from the Alexandria database.

a b c (Å): 3.7374 3.7374 9.3030
angles (deg): 90.00 90.00 120.00
With the nearest neighbours (Å) after each atom.
Sites, in units of the cell vectors:
Ca: 0.0000 0.0000 0.0000  6 Ca 3.74, 3 Nd 3.85, 3 Pr 3.88
Pr: 0.6667 0.3333 0.3460  3 Nd 3.61, 6 Pr 3.74, 3 Ca 3.88
Nd: 0.3333 0.6667 0.6570  3 Pr 3.61, 6 Nd 3.74, 3 Ca 3.85

Crystal system: trigonal
Formation energy: 0.03 eV per atom
DFT total energy: -0.1403 hartree per atom
Fermi-level density of states: 3.86 states/eV/cell
Energy above the lowest structure with this stoichiometry: 0.008 eV/atom


[5]
The following is a PBE-GGA calculation of a relaxed structure of BaTeIr2, from the Alexandria database.

a b c (Å): 5.0646 5.0646 5.0646
angles (deg): 60.00 60.00 60.00
With the nearest neighbours (Å) after each atom.
Sites, in units of the cell vectors:
Ba: 0.0000 0.0000 0.0000  4 Te 3.10, 4 Ir 3.10
Te: 0.7500 0.7500 0.7500  4 Ba 3.10, 4 Ir 3.10
Ir: 0.2500 0.2500 0.2500  4 Ba 3.10, 4 Ir 3.10
Ir: 0.5000 0.5000 0.5000  4 Te 3.10, 4 Ir 3.10

Crystal system: cubic
E_form (uncorrected): 0.7555 eV per atom
DFT total energy: -0.1816 hartree per atom
Fermi-level density of states: 5.43 states/eV/cell


[6]
The following is a PBE-GGA calculation of a relaxed structure of GeSbPd6, from the Alexandria database.

a b c (Å): 4.0086 4.0086 7.9232
angles (deg): 90.00 90.00 90.00
With the nearest neighbours (Å) after each atom.
Sites, in units of the cell vectors:
Ge: 0.0000 0.0000 0.0000  12 Pd 2.77-2.83
Sb: 0.0000 0.0000 0.5000  12 Pd 2.83-2.87
Pd: 0.0000 0.5000 0.2415  2 Ge 2.77, 8 Pd 2.77-2.87, 2 Sb 2.87
Pd: 0.0000 0.5000 0.7585  2 Ge 2.77, 8 Pd 2.77-2.87, 2 Sb 2.87
Pd: 0.5000 0.0000 0.2415  2 Ge 2.77, 8 Pd 2.77-2.87, 2 Sb 2.87
Pd: 0.5000 0.0000 0.7585  2 Ge 2.77, 8 Pd 2.77-2.87, 2 Sb 2.87
Pd: 0.5000 0.5000 0.0000  8 Pd 2.77, 4 Ge 2.83
Pd: 0.5000 0.5000 0.5000  4 Sb 2.83, 8 Pd 2.87

Crystal system: tetragonal
E_form (uncorrected): -0.3681 eV per atom
DFT total energy: -0.1968 hartree per atom
Fermi-level density of states: 2.57 states/eV/cell
Energy above the lowest structure with this stoichiometry: 0.000 eV/atom


[7]
The following is a PBE-GGA calculation of a relaxed structure of ThPaBi, from the Alexandria database.

a b c (Å): 5.8256 5.8256 5.8256
angles (deg): 137.38 137.38 61.86
With the nearest neighbours (Å) after each atom.
Sites, in units of the cell vectors:
Th: 0.0000 0.0000 0.0000  1 Pa 2.93
Pa: 0.7069 0.7069 0.0000  1 Th 2.93
Bi: 0.3493 0.3493 0.0000  5 Pa 3.32-3.57, 5 Th 3.35-3.49

Crystal system: tetragonal
Formation energy: 0.02 eV per atom
DFT total energy: -0.2540 hartree per atom
Fermi-level density of states: 6.96 states/eV/cell
Energy above the lowest structure with this stoichiometry: 0.081 eV/atom


[8]
The following is a PBE-GGA calculation of a relaxed structure of Nb2CuS4, from the Alexandria database.

a b c (Å): 3.3940 3.3940 13.2390
angles (deg): 90.00 90.00 120.00
With the nearest neighbours (Å) after each atom.
Sites, in units of the cell vectors:
Nb: 0.0000 0.0000 0.0000  6 S 2.48-2.51
Nb: 0.3333 0.6667 0.5030  6 S 2.49-2.54
Cu: 0.3333 0.6667 0.2849  4 S 2.21-2.34
S: 0.0000 0.0000 0.3814  3 Cu 2.34, 3 Nb 2.54
S: 0.0000 0.0000 0.6185  3 Nb 2.49
S: 0.3333 0.6667 0.1183  1 Cu 2.21
S: 0.3333 0.6667 0.8855  3 Nb 2.48

Crystal system: trigonal
E_form (uncorrected): -0.9292 eV per atom
DFT total energy: -0.2481 hartree per atom
Fermi-level density of states: 2.85 states/eV/cell
Energy above the lowest structure with this stoichiometry: 0.000 eV/atom


[9]
The following is a PBE-GGA calculation of a relaxed structure of NdErHfSc, from the Alexandria database.

a b c (Å): 5.3681 5.3681 5.3681
angles (deg): 60.00 60.00 60.00
With the nearest neighbours (Å) after each atom.
Sites, in units of the cell vectors:
Nd: 0.0000 0.0000 0.0000  4 Er 3.29, 4 Sc 3.29
Er: 0.7500 0.7500 0.7500  4 Hf 3.29, 4 Nd 3.29
Hf: 0.5000 0.5000 0.5000  4 Sc 3.29, 4 Er 3.29
Sc: 0.2500 0.2500 0.2500  4 Hf 3.29, 4 Nd 3.29

Crystal system: cubic
Formation energy: 0.25 eV per atom
DFT total energy: -0.2260 hartree per atom
Fermi-level density of states: 7.92 states/eV/cell


[10]
The following is a PBE-GGA calculation of a relaxed structure of RbTa2CSe, from the Alexandria database.

a b c (Å): 4.3282 4.3282 5.7612
angles (deg): 90.00 90.00 90.00
With the nearest neighbours (Å) after each atom.
Sites, in units of the cell vectors:
Rb: 0.0000 0.0000 0.0000  2 C 2.88, 4 Se 3.06
Ta: 0.0000 0.5000 0.5000  2 C 2.16
Ta: 0.5000 0.0000 0.5000  2 C 2.16
C: 0.0000 0.0000 0.5000  4 Ta 2.16
Se: 0.5000 0.5000 0.0000  4 Rb 3.06

Crystal system: tetragonal
E_form (uncorrected): 0.7459 eV per atom
DFT total energy: -0.2473 hartree per atom
Fermi-level density of states: 3.91 states/eV/cell


[11]
The following is a PBE-GGA calculation of a relaxed structure of NbReNi2H, from the Alexandria database.

a b c (Å): 3.7846 3.7846 3.9597
angles (deg): 90.00 90.00 90.00
With the nearest neighbours (Å) after each atom.
Sites, in units of the cell vectors:
Nb: 0.0000 0.0000 0.0000  4 Re 2.68, 8 Ni 2.74
Re: 0.5000 0.5000 0.0000  2 H 1.98
Ni: 0.0000 0.5000 0.5000  2 H 1.89
Ni: 0.5000 0.0000 0.5000  2 H 1.89
H: 0.5000 0.5000 0.5000  4 Ni 1.89, 2 Re 1.98

Crystal system: tetragonal
DFT total energy: -0.2775 hartree per atom
Fermi-level density of states: 5.35 states/eV/cell
Energy above the lowest structure with this stoichiometry: 0.000 eV/atom


[12]
The following is a PBE-GGA calculation of a relaxed structure of LaPrTlAu, from the Alexandria database.

a b c (Å): 5.4750 5.4750 5.4750
angles (deg): 60.00 60.00 60.00
With the nearest neighbours (Å) after each atom.
Sites, in units of the cell vectors:
La: 0.0000 0.0000 0.0000  4 Tl 3.35, 4 Au 3.35
Pr: 0.5000 0.5000 0.5000  4 Tl 3.35, 4 Au 3.35
Tl: 0.7500 0.7500 0.7500  4 La 3.35, 4 Pr 3.35
Au: 0.2500 0.2500 0.2500  4 La 3.35, 4 Pr 3.35

Crystal system: cubic
Formation energy: -0.54 eV per atom
DFT total energy: -0.1608 hartree per atom
Fermi-level density of states: 4.35 states/eV/cell
Energy above the lowest structure with this stoichiometry: 0.042 eV/atom


[13]
The following is a PBE-GGA calculation of a relaxed structure of Dy4Ir2Pd, from the Alexandria database.

a b c (Å): 8.3819 8.3819 8.3819
angles (deg): 33.63 33.63 33.63
With the nearest neighbours (Å) after each atom.
Sites, in units of the cell vectors:
Dy: 0.1228 0.1228 0.1228  4 Ir 2.95-3.01, 3 Pd 2.99
Dy: 0.3731 0.3731 0.3731  4 Ir 2.92-2.99, 1 Pd 3.01
Dy: 0.6269 0.6269 0.6269  4 Ir 2.92-2.99, 1 Pd 3.01
Dy: 0.8772 0.8772 0.8772  4 Ir 2.95-3.01, 3 Pd 2.99
Ir: 0.2498 0.2498 0.2498  8 Dy 2.92-3.01
Ir: 0.7502 0.7502 0.7502  8 Dy 2.92-3.01
Pd: 0.5000 0.5000 0.5000  8 Dy 2.99-3.01

Crystal system: trigonal
Formation energy: -0.85 eV per atom
DFT total energy: -0.2480 hartree per atom
Fermi-level density of states: 2.41 states/eV/cell
Energy above the lowest structure with this stoichiometry: 0.000 eV/atom